This record from the Alexandria database describes an optimized crystal structure of CuAg2Au6. The functional is PBE.

For the calculated formation energy, the calculation gives 0.050 eV per atom. The offset from the most stable computed form is 77 meV/atom. The value obtained for the total magnetization is 0.00 μB per cell.

It has space group C2/c (No. 15), with a = 16.3057 Å, b = 7.3966 Å, c = 5.4616 Å, α = 90.00°, β = 97.13° and γ = 90.00°. The distinct sites, in fractional coordinates, are Cu at (0.0000, 0.1692, 0.2500), Ag at (0.2326, 0.4218, 0.9063), Au at (0.0778, 0.4855, 0.1345), Au at (0.0875, 0.1383, 0.8700) and Au at (0.1619, 0.2117, 0.4309).

This record from the Alexandria database describes an optimized crystal structure of Na3Cd4In3. The functional is PBE.

For the calculated formation energy, the calculation gives -0.021 eV per atom. The value obtained for the total magnetization is 0.00 μB per cell.

It has space group Amm2 (No. 38), with a = 3.4031 Å, b = 12.5245 Å, c = 12.4872 Å, α = 90.00°, β = 90.00° and γ = 90.00°. The distinct sites, in fractional coordinates, are Na at (0.0000, 0.0000, 0.0000), Na at (0.0000, 0.1800, 0.3442), Cd at (0.5000, 0.0000, 0.2089), Cd at (0.5000, 0.0000, 0.4508), Cd at (0.5000, 0.1205, 0.8171), In at (0.0000, 0.0000, 0.6442) and In at (0.5000, 0.2417, 0.0891).